4
Lattice="5.101 0.000 0.000 2.550 4.417 0.000 2.550 1.472 4.165" Properties=species:S:1:pos:R:3 comment="PmThCuAs | the Alexandria database | GGA-PBE | optimized geometry" magnetic_moment_mub_per_cell=0.0 vol_a3_per_cell=93.8 e_form_kj_per_mol_atoms=-49.3 pbc="T T T"
Pm 0.000 0.000 0.000
As 7.651 4.417 3.123
Cu 2.550 1.472 1.041
Th 5.101 2.945 2.082

12
Lattice="-4.427 -0.873 -1.946 2.055 -2.944 -3.355 -1.707 -11.487 9.033" Properties=species:S:1:pos:R:3 comment="YEr9Sc2 | the Alexandria database | GGA-PBE | optimized geometry" magnetic_moment_mub_per_cell=0.0 vol_a3_per_cell=355.3 e_form_kj_per_mol_atoms=3.8 pbc="T T T"
Er -0.386 -10.988 5.805
Er -2.506 -2.407 0.577
Er 0.735 -3.443 -0.128
Er 0.174 -7.216 2.839
Er -2.319 -9.534 3.345
Er -1.760 -5.770 0.386
Er -3.067 -6.180 3.543
Er -1.186 -1.908 -2.651
Er -3.628 -9.952 6.510
Y 0.000 0.000 0.000
Sc -0.573 -3.853 3.030
Sc -1.134 -7.634 6.003